[1]
The following is a DFT calculation (PBE) of a relaxed structure of Sc2AlTeF.

Values from the calculation:
Uncorrected formation energy   177 meV/atom
Space-group type   No. 123

Cell: 5.4219 5.4219 5.1819 Å, 90.00 90.00 90.00°
Fractional positions:
Sc: 0.0000 0.5000 0.0000
Sc: 0.5000 0.0000 0.0000
Al: 0.0000 0.0000 0.5000
Te: 0.0000 0.0000 0.0000
F: 0.5000 0.5000 0.5000

=====

[2]
The following is a DFT calculation (PBE) of a relaxed structure of BeTe5.

Values from the calculation:
E above lowest polymorph   177.1 meV per atom
Uncorrected formation energy   250 meV/atom
Space-group type   No. 38

Cell: 3.8222 3.8366 24.0398 Å, 90.00 90.00 90.00°
Fractional positions:
Be: 0.0000 0.0000 0.0000
Be: 0.0000 0.5000 0.5000
Te: 0.0000 0.0000 0.3304
Te: 0.0000 0.0000 0.6578
Te: 0.0000 0.5000 0.1578
Te: 0.0000 0.5000 0.8304
Te: 0.5000 0.0000 0.2425
Te: 0.5000 0.0000 0.5582
Te: 0.5000 0.0000 0.9381
Te: 0.5000 0.5000 0.0582
Te: 0.5000 0.5000 0.4381
Te: 0.5000 0.5000 0.7425

=====

[3]
The following is a DFT calculation (PBE) of a relaxed structure of KOs2Au.

Values from the calculation:
E above lowest polymorph   764.5 meV per atom
Energy of formation   1.3083 eV per atom
Space-group type   No. 65

Cell: 5.5949 10.1722 2.5774 Å, 90.00 90.00 90.00°
Fractional positions:
K: 0.0000 0.0000 0.0000
K: 0.5000 0.5000 0.0000
Os: 0.2500 0.2500 0.5000
Os: 0.2500 0.7500 0.5000
Os: 0.7500 0.2500 0.5000
Os: 0.7500 0.7500 0.5000
Au: 0.0000 0.5000 0.0000
Au: 0.5000 0.0000 0.0000

=====

[4]
The following is a DFT calculation (PBE) of a relaxed structure of SrErPdAu.

Values from the calculation:
Energy of formation   -0.6728 eV per atom
Space-group type   No. 216

Cell: 7.2761 7.2761 7.2761 Å, 90.00 90.00 90.00°
Fractional positions:
Sr: 0.0000 0.0000 0.0000
Sr: 0.0000 0.5000 0.5000
Sr: 0.5000 0.0000 0.5000
Sr: 0.5000 0.5000 0.0000
Er: 0.0000 0.0000 0.5000
Er: 0.0000 0.5000 0.0000
Er: 0.5000 0.0000 0.0000
Er: 0.5000 0.5000 0.5000
Pd: 0.2500 0.2500 0.7500
Pd: 0.2500 0.7500 0.2500
Pd: 0.7500 0.2500 0.2500
Pd: 0.7500 0.7500 0.7500
Au: 0.2500 0.2500 0.2500
Au: 0.2500 0.7500 0.7500
Au: 0.7500 0.2500 0.7500
Au: 0.7500 0.7500 0.2500

=====

[5]
The following is a DFT calculation (PBE) of a relaxed structure of NaNiGe2.

Values from the calculation:
E above lowest polymorph   258.5 meV per atom
Energy of formation   0.0860 eV per atom
Space-group type   No. 122

Cell: 5.0196 5.0196 15.2381 Å, 90.00 90.00 90.00°
Fractional positions:
Na: 0.0000 0.0000 0.0000
Na: 0.0000 0.5000 0.2500
Na: 0.5000 0.0000 0.7500
Na: 0.5000 0.5000 0.5000
Ni: 0.0000 0.0000 0.5000
Ni: 0.0000 0.5000 0.7500
Ni: 0.5000 0.0000 0.2500
Ni: 0.5000 0.5000 0.0000
Ge: 0.0476 0.2500 0.6250
Ge: 0.2500 0.5476 0.8750
Ge: 0.2500 0.9524 0.3750
Ge: 0.4524 0.2500 0.1250
Ge: 0.5476 0.7500 0.1250
Ge: 0.7500 0.0476 0.3750
Ge: 0.7500 0.4524 0.8750
Ge: 0.9524 0.7500 0.6250

=====

[6]
The following is a DFT calculation (PBE) of a relaxed structure of ScAl2Zn.

Values from the calculation:
Energy of formation   0.0435 eV per atom
Space-group type   No. 122

Cell: 3.9873 3.9873 19.7026 Å, 90.00 90.00 90.00°
Fractional positions:
Sc: 0.0000 0.0000 0.0000
Sc: 0.0000 0.5000 0.2500
Sc: 0.5000 0.0000 0.7500
Sc: 0.5000 0.5000 0.5000
Al: 0.2460 0.2500 0.6250
Al: 0.2500 0.7460 0.8750
Al: 0.2500 0.7540 0.3750
Al: 0.2540 0.2500 0.1250
Al: 0.7460 0.7500 0.1250
Al: 0.7500 0.2460 0.3750
Al: 0.7500 0.2540 0.8750
Al: 0.7540 0.7500 0.6250
Zn: 0.0000 0.0000 0.5000
Zn: 0.0000 0.5000 0.7500
Zn: 0.5000 0.0000 0.2500
Zn: 0.5000 0.5000 0.0000

=====

Number 1: E -20.53 eV/cell. Number 2: E -35.87 eV/cell. Number 3: E -43.20 eV/cell. Number 4: E -69.62 eV/cell. Number 5: E -63.96 eV/cell. Number 6: E -59.67 eV/cell.